# PBE MnReAgPd2, optimized geometry
# Energy of formation from the pure elements, meV per atom: 1845
# V, Å³ per cell: 91
data_MnReAgPd2
_symmetry_space_group_name_H-M 'P 4/m m m'
_symmetry_Int_Tables_number 123
_symmetry_space_group_name_Hall '-P 4 2'
_cell_length_a 4.398
_cell_length_b 4.398
_cell_length_c 4.684
_cell_angle_alpha 90.00
_cell_angle_beta 90.00
_cell_angle_gamma 90.00
loop_
_atom_site_label
_atom_site_fract_x
_atom_site_fract_y
_atom_site_fract_z
_atom_site_occupancy
Mn1 0.000 0.000 0.000 1
Re1 0.500 0.500 0.500 1
Ag1 0.000 0.000 0.500 1
Pd1 0.000 0.500 0.000 1


# PBE SrCu6Si3, optimized geometry
# Energy relative to the elements, uncorrected, eV/atom: -0.0530
# V, Å³ per cell: 298
data_SrCu6Si3
_symmetry_space_group_name_H-M 'P 1 21/c 1'
_symmetry_Int_Tables_number 14
_symmetry_space_group_name_Hall '-P 2ybc'
_cell_length_a 6.483
_cell_length_b 6.483
_cell_length_c 8.214
_cell_angle_alpha 90.00
_cell_angle_beta 120.47
_cell_angle_gamma 90.00
loop_
_atom_site_label
_atom_site_fract_x
_atom_site_fract_y
_atom_site_fract_z
_atom_site_occupancy
Sr1 0.000 0.000 0.000 1
Cu1 0.144 0.026 0.676 1
Cu2 0.262 0.700 0.885 1
Cu3 0.480 0.212 0.259 1
Si1 0.249 0.151 0.427 1
Si2 0.500 0.000 0.000 1


# PBE Ce4P2Cl3, optimized geometry
# Energy relative to the elements, uncorrected, eV/atom: -1.7274
# ΔE to the lowest computed polymorph, eV/f.u.: 0.00
# V, Å³ per cell: 478
data_Ce4P2Cl3
_symmetry_space_group_name_H-M 'C 1 2/m 1'
_symmetry_Int_Tables_number 12
_symmetry_space_group_name_Hall '-C 2y'
_cell_length_a 7.077
_cell_length_b 4.086
_cell_length_c 16.525
_cell_angle_alpha 90.00
_cell_angle_beta 90.06
_cell_angle_gamma 90.00
loop_
_atom_site_label
_atom_site_fract_x
_atom_site_fract_y
_atom_site_fract_z
_atom_site_occupancy
Ce1 0.001 0.000 0.297 1
Ce2 0.166 0.500 0.894 1
P1 0.167 0.500 0.201 1
Cl1 0.000 0.000 0.000 1
Cl2 0.166 0.500 0.602 1


| no. | M_tot (μB per formula unit) |
| --- | --- |
| 1 | 0.00 |
| 2 | 0.00 |
| 3 | 3.21 |